(1)
A plane-wave DFT calculation with GGA-PBE was carried out for an optimized crystal structure of Ce4H4N.

Lattice parameters (Å, degrees): 6.644 6.644 6.644 131.72 131.72 70.68
Positions (direct):
Ce: 0.119 0.638 0.000
Ce: 0.362 0.362 0.481
Ce: 0.638 0.119 0.000
Ce: 0.881 0.881 0.519
H: 0.000 0.500 0.500
H: 0.252 0.252 0.000
H: 0.500 0.000 0.500
H: 0.748 0.748 0.000
N: 0.000 0.000 0.000

(2)
A plane-wave DFT calculation with GGA-PBE was carried out for an optimized crystal structure of SrCdMo.

Lattice parameters (Å, degrees): 9.856 5.162 6.686 90.00 103.43 90.00
Positions (direct):
Sr: 0.000 0.000 0.000
Sr: 0.244 0.500 0.336
Sr: 0.500 0.500 0.000
Sr: 0.744 0.000 0.336
Cd: 0.142 0.500 0.777
Cd: 0.434 0.000 0.355
Cd: 0.642 0.000 0.777
Cd: 0.934 0.500 0.355
Mo: 0.072 0.000 0.543
Mo: 0.285 0.000 0.721
Mo: 0.572 0.500 0.543
Mo: 0.785 0.500 0.721

Summary:
energy relative to the elements	1.409	eV/f.u.

(3)
A plane-wave DFT calculation with GGA-PBE was carried out for an optimized crystal structure of Li3Zn2Ag7.

Lattice parameters (Å, degrees): 4.611 3.006 15.298 90.00 97.83 90.00
Positions (direct):
Li: 0.000 0.000 0.000
Li: 0.319 0.500 0.633
Li: 0.681 0.500 0.367
Zn: 0.135 0.000 0.284
Zn: 0.865 0.000 0.716
Ag: 0.067 0.500 0.137
Ag: 0.228 0.000 0.452
Ag: 0.411 0.000 0.817
Ag: 0.500 0.500 0.000
Ag: 0.589 0.000 0.183
Ag: 0.772 0.000 0.548
Ag: 0.933 0.500 0.863

Summary:
energy relative to the elements	-0.652	eV/f.u.

(4)
A plane-wave DFT calculation with GGA-PBE was carried out for an optimized crystal structure of AgH4Pd3.

Lattice parameters (Å, degrees): 4.128 4.173 4.622 87.39 89.96 88.61
Positions (direct):
Ag: 0.000 0.000 0.000
H: 0.261 0.274 0.264
H: 0.293 0.280 0.731
H: 0.707 0.720 0.269
H: 0.739 0.726 0.736
Pd: 0.000 0.500 0.500
Pd: 0.500 0.000 0.500
Pd: 0.500 0.500 0.000

(5)
A plane-wave DFT calculation with GGA-PBE was carried out for an optimized crystal structure of LiH2F.

Lattice parameters (Å, degrees): 4.901 4.901 4.901 90.00 90.00 90.00
Positions (direct):
Li: 0.000 0.000 0.000
Li: 0.000 0.500 0.500
Li: 0.500 0.000 0.500
Li: 0.500 0.500 0.000
H: 0.250 0.250 0.250
H: 0.250 0.250 0.750
H: 0.250 0.750 0.250
H: 0.250 0.750 0.750
H: 0.750 0.250 0.250
H: 0.750 0.250 0.750
H: 0.750 0.750 0.250
H: 0.750 0.750 0.750
F: 0.000 0.000 0.500
F: 0.000 0.500 0.000
F: 0.500 0.000 0.000
F: 0.500 0.500 0.500

(6)
A plane-wave DFT calculation with GGA-PBE was carried out for an optimized crystal structure of Na2AlRh2S6.

Lattice parameters (Å, degrees): 6.138 6.138 6.973 98.53 98.53 120.59
Positions (direct):
Na: 0.167 0.833 0.000
Na: 0.833 0.167 0.000
Al: 0.000 0.000 0.500
Rh: 0.334 0.666 0.500
Rh: 0.666 0.334 0.500
S: 0.062 0.403 0.691
S: 0.271 0.271 0.307
S: 0.403 0.062 0.691
S: 0.597 0.938 0.309
S: 0.729 0.729 0.693
S: 0.938 0.597 0.309

Summary:
formation energy without anion corrections	-0.779	eV/atom

(7)
A plane-wave DFT calculation with GGA-PBE was carried out for an optimized crystal structure of Tl2SnBi2Pb.

Lattice parameters (Å, degrees): 5.750 9.541 7.042 90.00 90.00 90.00
Positions (direct):
Tl: 0.000 0.023 0.000
Tl: 0.000 0.977 0.500
Tl: 0.500 0.163 0.257
Tl: 0.500 0.837 0.757
Sn: 0.000 0.322 0.699
Sn: 0.000 0.678 0.199
Bi: 0.000 0.355 0.259
Bi: 0.000 0.645 0.759
Bi: 0.500 0.190 0.766
Bi: 0.500 0.810 0.266
Pb: 0.500 0.496 0.473
Pb: 0.500 0.504 0.973

Summary:
energy relative to the elements	-0.022	eV/f.u.

(8)
A plane-wave DFT calculation with GGA-PBE was carried out for an optimized crystal structure of ReNiSb2Ru.

Lattice parameters (Å, degrees): 4.991 4.991 4.527 90.00 90.00 90.00
Positions (direct):
Re: 0.000 0.000 0.000
Ni: 0.500 0.500 0.000
Sb: 0.000 0.500 0.500
Sb: 0.500 0.000 0.500
Ru: 0.500 0.500 0.500

Summary:
formation energy without anion corrections	1.445	eV/atom

(9)
A plane-wave DFT calculation with GGA-PBE was carried out for an optimized crystal structure of NdH3O3.

Lattice parameters (Å, degrees): 6.508 3.738 6.509 90.00 119.94 90.00
Positions (direct):
Nd: 0.167 0.250 0.333
Nd: 0.833 0.750 0.667
H: 0.222 0.250 0.857
H: 0.357 0.750 0.133
H: 0.365 0.750 0.722
H: 0.635 0.250 0.278
H: 0.643 0.250 0.867
H: 0.778 0.750 0.143
O: 0.106 0.250 0.688
O: 0.188 0.750 0.082
O: 0.418 0.750 0.606
O: 0.582 0.250 0.394
O: 0.812 0.250 0.918
O: 0.894 0.750 0.312

(10)
A plane-wave DFT calculation with GGA-PBE was carried out for an optimized crystal structure of TaOsRu3.

Lattice parameters (Å, degrees): 5.412 5.412 11.407 90.00 90.00 120.00
Positions (direct):
Ta: 0.000 0.000 0.000
Ta: 0.333 0.667 0.667
Ta: 0.667 0.333 0.333
Os: 0.000 0.000 0.500
Os: 0.333 0.667 0.167
Os: 0.667 0.333 0.833
Ru: 0.000 0.500 0.000
Ru: 0.167 0.333 0.333
Ru: 0.167 0.833 0.333
Ru: 0.333 0.167 0.667
Ru: 0.500 0.000 0.000
Ru: 0.500 0.500 0.000
Ru: 0.667 0.833 0.333
Ru: 0.833 0.167 0.667
Ru: 0.833 0.667 0.667

Summary:
energy relative to the elements	5.778	eV/f.u.

(11)
A plane-wave DFT calculation with GGA-PBE was carried out for an optimized crystal structure of Cs2K4Cl.

Lattice parameters (Å, degrees): 6.391 6.391 26.522 90.00 90.00 90.00
Positions (direct):
Cs: 0.000 0.000 0.187
Cs: 0.000 0.000 0.813
Cs: 0.500 0.500 0.313
Cs: 0.500 0.500 0.687
K: 0.000 0.000 0.380
K: 0.000 0.000 0.620
K: 0.000 0.500 0.000
K: 0.000 0.500 0.500
K: 0.500 0.000 0.000
K: 0.500 0.000 0.500
K: 0.500 0.500 0.120
K: 0.500 0.500 0.880
Cl: 0.000 0.000 0.500
Cl: 0.500 0.500 0.000

Summary:
formation energy without anion corrections	-0.482	eV/atom

(12)
A plane-wave DFT calculation with GGA-PBE was carried out for an optimized crystal structure of SrPuNp4N8.

Lattice parameters (Å, degrees): 6.922 6.922 6.922 59.45 59.45 59.45
Positions (direct):
Sr: 0.000 0.000 0.000
Pu: 0.383 0.383 0.383
Np: 0.000 0.000 0.499
Np: 0.000 0.499 0.000
Np: 0.499 0.000 0.000
Np: 0.617 0.617 0.617
N: 0.215 0.743 0.743
N: 0.233 0.233 0.233
N: 0.256 0.256 0.793
N: 0.256 0.793 0.256
N: 0.743 0.215 0.743
N: 0.743 0.743 0.215
N: 0.763 0.763 0.763
N: 0.793 0.256 0.256

Summary:
formation energy without anion corrections	-0.934	eV/atom

Raw total energy
In order: -5.57 -4.01 -2.41 -4.03 -2.62 -4.95 -3.37 -5.71 -6.17 -9.03 -1.62 -10.53
Unit: eV/atom
Total magnetic moment
In order: 3.952 0.000 0.000 0.000 0.952 0.000 0.000 4.117 0.000 0.002 0.000 6.794
Unit: μB per formula unit